Below is a geometry-optimized BaTm2Rh structure, with properties calculated at the PBE-GGA level.

abc: 3.950 3.950 10.839
angles: 79.50 79.50 60.00
Positions (direct):
Ba1 0.000 0.000 0.000
Rh1 0.500 0.500 0.500
Tm1 0.121 0.121 0.638
Tm2 0.879 0.879 0.362

Properties
Uncorrected energy in eV/cell: -19.30
Energy relative to the elements in meV per atom: -271